i) Hg3TeO6 at its PBEsol-relaxed geometry, computed with meta-GGA SCAN.

extended XYZ file:
```
80
Lattice="-6.768 6.768 6.768 6.768 -6.768 6.768 6.768 6.768 -6.768" Properties=species:S:1:pos:R:3 pbc="T T T"
Hg 6.316 5.076 -3.836
Hg 3.836 -0.452 1.692
Hg 6.316 -1.692 3.836
Hg 10.604 0.452 1.692
Hg 5.076 -3.836 6.316
Hg 1.692 3.836 -0.452
Hg 8.460 2.932 0.452
Hg 5.076 3.836 0.452
Hg 3.836 6.316 -1.692
Hg 6.316 1.692 2.932
Hg -0.452 1.692 3.836
Hg 3.836 0.452 5.076
Hg 2.932 6.316 1.692
Hg 7.220 5.076 2.932
Hg 0.452 5.076 3.836
Hg 2.932 0.452 8.460
Hg 1.692 2.932 6.316
Hg -1.692 3.836 6.316
Hg 5.076 2.932 7.220
Hg 1.692 10.604 0.452
Hg -3.836 6.316 5.076
Hg 0.452 8.460 2.932
Hg 2.932 7.220 5.076
Hg 0.452 1.692 10.604
Te 0.000 0.000 0.000
Te 3.384 3.384 -3.384
Te 3.384 -3.384 3.384
Te 6.768 0.000 0.000
Te -3.384 3.384 3.384
Te 0.000 6.768 0.000
Te 0.000 0.000 6.768
Te 3.384 3.384 3.384
O 1.960 -0.018 0.099
O 8.192 3.483 -3.402
O 8.728 0.018 0.099
O 8.192 -3.285 3.402
O 6.750 -0.099 1.960
O 10.170 -1.424 3.285
O 0.099 1.960 -0.018
O 10.053 3.366 -1.424
O 3.483 3.402 -1.424
O 6.669 1.960 0.018
O -0.018 0.099 1.960
O 3.402 -1.424 3.483
O 6.750 6.669 -1.960
O 3.402 1.424 3.285
O 3.483 -3.402 8.192
O 6.669 -1.960 6.750
O 3.285 3.402 1.424
O 6.867 4.808 0.018
O 3.402 8.192 -3.285
O 6.750 0.099 4.808
O 1.960 6.750 -0.099
O 8.192 3.285 3.366
O 1.424 3.285 3.402
O 1.960 0.018 6.669
O 4.808 6.750 0.099
O 5.344 3.483 3.366
O -1.424 3.483 3.402
O 4.808 0.018 6.867
O 0.018 6.669 1.960
O 3.366 -1.424 10.053
O -0.099 1.960 6.750
O 3.483 3.366 5.344
O 0.099 8.728 0.018
O 3.285 10.170 -1.424
O 3.366 5.344 3.483
O 0.018 0.099 8.728
O 3.366 8.192 3.285
O 6.786 6.669 4.808
O 0.099 4.808 6.750
O 3.285 3.366 8.192
O -3.285 3.402 8.192
O 6.669 4.808 6.786
O -3.402 8.192 3.483
O 0.018 6.867 4.808
O -1.424 10.053 3.366
O -1.960 6.750 6.669
O -1.424 3.285 10.170
O 4.808 6.786 6.669
```

Output
Volume in Å³/cell: 1240.1

=====

ii) Hg3TeO6 at its PBEsol-relaxed geometry, computed with meta-GGA SCAN.

extended XYZ file:
```
80
Lattice="-6.759 6.759 6.759 6.759 -6.759 6.759 6.759 6.759 -6.759" Properties=species:S:1:pos:R:3 pbc="T T T"
Hg 6.191 -1.692 2.785
Hg 2.785 -0.568 1.692
Hg 1.692 2.785 -0.568
Hg 9.544 0.568 1.692
Hg 6.191 5.066 -2.785
Hg 5.066 2.785 0.568
Hg 5.066 -2.785 6.191
Hg -0.568 1.692 2.785
Hg 2.785 6.191 -1.692
Hg 8.451 3.974 0.568
Hg 2.785 0.568 5.066
Hg 6.191 1.692 3.974
Hg 0.568 5.066 2.785
Hg 3.974 6.191 1.692
Hg -1.692 2.785 6.191
Hg 3.974 0.568 8.451
Hg 7.327 5.066 3.974
Hg 1.692 9.544 0.568
Hg 1.692 3.974 6.191
Hg 0.568 1.692 9.544
Hg -2.785 6.191 5.066
Hg 5.066 3.974 7.327
Hg 3.974 7.327 5.066
Hg 0.568 8.451 3.974
Te 0.000 0.000 0.000
Te 3.379 3.379 -3.379
Te 3.379 -3.379 3.379
Te 6.759 0.000 0.000
Te -3.379 3.379 3.379
Te 0.000 6.759 0.000
Te 0.000 0.000 6.759
Te 3.379 3.379 3.379
O 5.338 -3.449 3.460
O 11.562 -0.074 0.087
O 8.180 -3.310 3.460
O 4.804 0.074 0.087
O 6.833 6.671 -4.804
O 6.846 1.955 -0.074
O 10.069 3.299 -1.421
O 3.460 5.338 -3.449
O 3.460 -1.421 3.449
O 6.671 -4.804 6.833
O 3.449 3.460 -1.421
O 6.833 0.087 1.955
O 10.208 3.299 1.421
O 6.833 -0.087 4.804
O 6.671 4.804 -0.074
O 3.460 1.421 3.310
O 3.460 8.180 -3.310
O 0.087 4.804 0.074
O 3.310 3.460 1.421
O 0.074 0.087 4.804
O 4.804 -0.074 6.671
O 8.180 3.310 3.299
O 4.804 6.833 -0.087
O 5.338 3.449 3.299
O 1.421 3.310 3.460
O 1.955 -0.074 6.846
O -1.421 3.449 3.460
O 1.955 6.833 0.087
O 6.685 6.671 1.955
O 3.449 3.299 5.338
O 6.671 1.955 6.685
O 3.299 -1.421 10.069
O 3.299 5.338 3.449
O 0.087 1.955 6.833
O -0.074 6.846 1.955
O -3.449 3.460 5.338
O -0.074 6.671 4.804
O 3.310 3.299 8.180
O 0.087 11.562 -0.074
O 3.299 8.180 3.310
O 3.299 1.421 10.208
O -3.310 3.460 8.180
O -0.087 4.804 6.833
O -0.074 0.087 11.562
O 1.955 6.685 6.671
O -1.421 10.069 3.299
O -4.804 6.833 6.671
O 1.421 10.208 3.299
```

Output
Volume in Å³/cell: 1235.1

=====

Least stable of them? i).

=====

i) ZrHg3O at its PBEsol-relaxed geometry, computed with meta-GGA SCAN.

extended XYZ file:
```
5
Lattice="5.515 0.000 0.000 0.000 5.515 0.000 0.000 0.000 5.515" Properties=species:S:1:pos:R:3 pbc="T T T"
Zr 0.000 0.000 0.000
Hg 0.000 0.000 2.757
Hg 0.000 2.757 0.000
Hg 2.757 0.000 0.000
O 2.757 2.757 2.757
```

Output
Volume in Å³/cell: 167.7

=====

ii) ZrHg3O at its PBEsol-relaxed geometry, computed with meta-GGA SCAN.

extended XYZ file:
```
5
Lattice="4.645 0.000 0.000 0.000 4.645 0.000 0.000 0.000 4.645" Properties=species:S:1:pos:R:3 pbc="T T T"
Zr 0.000 0.000 0.000
Hg 0.000 2.323 2.323
Hg 2.323 0.000 2.323
Hg 2.323 2.323 0.000
O 2.323 2.323 2.323
```

Output
Volume in Å³/cell: 100.2

=====

Least stable of them? i).

=====

i) Hg3Os at its PBEsol-relaxed geometry, computed with meta-GGA SCAN.

extended XYZ file:
```
4
Lattice="1.415 -2.496 0.000 1.415 2.496 0.000 0.000 0.000 11.218" Properties=species:S:1:pos:R:3 pbc="T T T"
Hg 0.000 0.000 0.000
Hg 1.415 0.000 3.128
Hg 1.415 0.000 8.090
Os 0.000 0.000 5.609
```

Output
Volume in Å³/cell: 79.3

=====

ii) Hg3Os at its PBEsol-relaxed geometry, computed with meta-GGA SCAN.

extended XYZ file:
```
4
Lattice="-2.032 2.032 4.500 2.032 -2.032 4.500 2.032 2.032 -4.500" Properties=species:S:1:pos:R:3 pbc="T T T"
Hg 0.000 0.000 0.000
Hg 2.032 0.000 2.250
Hg 0.000 2.032 2.250
Os 0.000 0.000 4.500
```

Output
Volume in Å³/cell: 74.3

=====

Least stable of them? ii).

=====

i) HgOs at its PBEsol-relaxed geometry, computed with meta-GGA SCAN.

extended XYZ file:
```
4
Lattice="2.862 0.000 0.000 -1.431 2.479 0.000 0.000 0.000 9.300" Properties=species:S:1:pos:R:3 pbc="T T T"
Hg 0.000 0.000 0.000
Hg 0.000 0.000 4.650
Os 0.000 1.652 2.325
Os 1.431 0.826 6.975
```

Output
Volume in Å³/cell: 66.0

=====

ii) HgOs at its PBEsol-relaxed geometry, computed with meta-GGA SCAN.

extended XYZ file:
```
4
Lattice="4.219 0.000 0.000 -2.109 3.654 0.000 0.000 0.000 6.907" Properties=species:S:1:pos:R:3 pbc="T T T"
Hg 0.000 2.436 0.000
Hg 2.109 1.218 3.454
Os 0.000 2.436 4.331
Os 2.109 1.218 0.877
```

Output
Volume in Å³/cell: 106.5

=====

Least stable of them? ii).

=====

i) Hg2OsPt at its PBEsol-relaxed geometry, computed with meta-GGA SCAN.

extended XYZ file:
```
4
Lattice="2.874 0.000 0.000 0.000 2.874 0.000 0.000 0.000 8.197" Properties=species:S:1:pos:R:3 pbc="T T T"
Hg 0.000 0.000 2.051
Hg 0.000 0.000 6.146
Os 1.437 1.437 0.000
Pt 1.437 1.437 4.099
```

Output
Volume in Å³/cell: 67.7

=====

ii) Hg2OsPt at its PBEsol-relaxed geometry, computed with meta-GGA SCAN.

extended XYZ file:
```
4
Lattice="0.000 3.237 3.237 3.237 0.000 3.237 3.237 3.237 0.000" Properties=species:S:1:pos:R:3 pbc="T T T"
Hg 1.619 1.619 1.619
Hg 4.856 4.856 4.856
Os 0.000 0.000 0.000
Pt 3.237 3.237 3.237
```

Output
Volume in Å³/cell: 67.8

=====

Least stable of them? ii).

=====

i) Hg2OsPt at its PBEsol-relaxed geometry, computed with meta-GGA SCAN.

extended XYZ file:
```
4
Lattice="-2.085 2.085 3.906 2.085 -2.085 3.906 2.085 2.085 -3.906" Properties=species:S:1:pos:R:3 pbc="T T T"
Hg 0.000 0.000 0.000
Hg 0.000 2.085 1.953
Os 0.000 0.000 3.906
Pt 2.085 0.000 1.953
```

Output
Volume in Å³/cell: 67.9

=====

ii) Hg2OsPt at its PBEsol-relaxed geometry, computed with meta-GGA SCAN.

extended XYZ file:
```
4
Lattice="1.448 -2.458 0.000 1.448 2.458 0.000 0.000 0.000 9.585" Properties=species:S:1:pos:R:3 pbc="T T T"
Hg 0.000 0.000 2.391
Hg 0.000 0.000 7.193
Os 1.448 0.000 0.000
Pt 1.448 0.000 4.792
```

Output
Volume in Å³/cell: 68.2

=====

iii) Hg2OsPt at its PBEsol-relaxed geometry, computed with meta-GGA SCAN.

extended XYZ file:
```
4
Lattice="1.444 0.834 9.542 -1.444 0.834 9.542 0.000 -1.668 9.542" Properties=species:S:1:pos:R:3 pbc="T T T"
Hg 0.000 0.000 0.000
Hg 0.000 0.000 6.842
Os 0.000 0.000 13.987
Pt 0.000 0.000 21.491
```

Output
Volume in Å³/cell: 69.0

=====

Least stable of them? i).